Entry 1:
The following is a DFT calculation (PBE) of a relaxed NiBi2H crystal.

Computed properties:
The electronic total energy is -3.856 eV per atom. Its total moment is 0.000 μB per atom.

a b c (Å): 4.680 4.680 4.680
angles (deg): 60.00 60.00 60.00
Sites, in units of the cell vectors:
Ni (0.000, 0.000, 0.000)
Bi (0.250, 0.250, 0.250)
Bi (0.750, 0.750, 0.750)
H (0.500, 0.500, 0.500)



Entry 2:
The following is a DFT calculation (PBE) of a relaxed Bi2SbO crystal.

Computed properties:
Its total moment is 0.000 μB per atom. The uncorrected formation energy comes out at 160 meV per atom.

a b c (Å): 5.102 5.102 5.102
angles (deg): 60.00 60.00 60.00
Sites, in units of the cell vectors:
Bi (0.250, 0.250, 0.250)
Bi (0.750, 0.750, 0.750)
Sb (0.000, 0.000, 0.000)
O (0.500, 0.500, 0.500)



Entry 3:
The following is a DFT calculation (PBE) of a relaxed PmGa2SiRh crystal.

Computed properties:
Its total moment is 0.000 μB per atom. The uncorrected formation energy comes out at -710 meV per atom.

a b c (Å): 6.165 6.165 6.165
angles (deg): 141.59 141.44 55.56
Sites, in units of the cell vectors:
Pm (0.000, 0.000, 0.000)
Ga (0.386, 0.386, 0.000)
Ga (0.748, 0.248, 0.500)
Si (0.611, 0.611, 0.000)
Rh (0.236, 0.736, 0.500)



Entry 4:
The following is a DFT calculation (PBE) of a relaxed ZnIN crystal.

Computed properties:
Its total moment is 0.654 μB per atom. The uncorrected formation energy comes out at 834 meV per atom.

a b c (Å): 8.857 3.745 4.435
angles (deg): 90.00 90.00 90.00
Sites, in units of the cell vectors:
Zn (0.250, 0.000, 0.001)
Zn (0.750, 0.000, 0.999)
I (0.000, 0.000, 0.500)
I (0.500, 0.000, 0.500)
N (0.250, 0.500, 0.000)
N (0.750, 0.500, 0.000)



Entry 5:
The following is a DFT calculation (PBE) of a relaxed TmMgPdPt crystal.

Computed properties:
The calculation puts the energy of formation from the pure elements at -0.992 eV per atom. Its total moment is 0.000 μB per atom.

a b c (Å): 4.719 4.719 4.719
angles (deg): 60.00 60.00 60.00
Sites, in units of the cell vectors:
Tm (0.000, 0.000, 0.000)
Mg (0.500, 0.500, 0.500)
Pd (0.250, 0.250, 0.250)
Pt (0.750, 0.750, 0.750)



Entry 6:
The following is a DFT calculation (PBE) of a relaxed CeTmTl crystal.

Computed properties:
The calculation puts the energy of formation from the pure elements at -0.122 eV per atom. Its total moment is 0.343 μB per atom.

a b c (Å): 7.401 7.401 7.401
angles (deg): 152.33 152.33 39.54
Sites, in units of the cell vectors:
Ce (0.000, 0.000, 0.000)
Tm (0.684, 0.684, 0.000)
Tl (0.334, 0.334, 0.000)



Entry 7:
The following is a DFT calculation (PBE) of a relaxed RbSeS2N crystal.

Computed properties:
Its total moment is 0.315 μB per atom. The uncorrected formation energy comes out at 2311 meV per atom.

a b c (Å): 5.803 5.803 4.278
angles (deg): 90.00 90.00 90.00
Sites, in units of the cell vectors:
Rb (0.000, 0.000, 0.000)
Se (0.500, 0.500, 0.500)
S (0.000, 0.500, 0.000)
S (0.500, 0.000, 0.000)
N (0.000, 0.000, 0.500)



Entry 8:
The following is a DFT calculation (PBE) of a relaxed MoAs2 crystal.

Computed properties:
The calculation puts the energy of formation from the pure elements at 0.087 eV per atom. Its total moment is 0.000 μB per atom.

a b c (Å): 6.510 6.510 4.642
angles (deg): 90.00 90.00 150.12
Sites, in units of the cell vectors:
Mo (0.099, 0.901, 0.750)
Mo (0.901, 0.099, 0.250)
As (0.235, 0.765, 0.250)
As (0.437, 0.563, 0.750)
As (0.563, 0.437, 0.250)
As (0.765, 0.235, 0.750)



Entry 9:
The following is a DFT calculation (PBE) of a relaxed La2SmIn2Ag2 crystal.

Computed properties:
The calculation puts the energy of formation from the pure elements at -0.334 eV per atom. Its total moment is 0.000 μB per atom.

a b c (Å): 9.571 9.571 9.571
angles (deg): 29.78 29.78 29.78
Sites, in units of the cell vectors:
La (0.128, 0.128, 0.128)
La (0.872, 0.872, 0.872)
Sm (0.000, 0.000, 0.000)
In (0.266, 0.266, 0.266)
In (0.734, 0.734, 0.734)
Ag (0.393, 0.393, 0.393)
Ag (0.607, 0.607, 0.607)



Entry 10:
The following is a DFT calculation (PBE) of a relaxed LiTcP2 crystal.

Computed properties:
The calculation puts the energy of formation from the pure elements at -0.021 eV per atom. Its total moment is 0.000 μB per atom.

a b c (Å): 3.235 3.665 4.402
angles (deg): 90.00 90.00 90.00
Sites, in units of the cell vectors:
Li (0.000, 0.000, 0.000)
Tc (0.500, 0.000, 0.500)
P (0.000, 0.500, 0.500)
P (0.500, 0.500, 0.000)



Entry 11:
The following is a DFT calculation (PBE) of a relaxed PrCo6 crystal.

Computed properties:
The calculation puts the energy of formation from the pure elements at 0.482 eV per atom. Its total moment is 0.073 μB per atom.

a b c (Å): 5.261 5.261 5.261
angles (deg): 109.47 109.47 109.47
Sites, in units of the cell vectors:
Pr (0.000, 0.000, 0.000)
Co (0.250, 0.500, 0.750)
Co (0.250, 0.750, 0.500)
Co (0.500, 0.250, 0.750)
Co (0.500, 0.750, 0.250)
Co (0.750, 0.250, 0.500)
Co (0.750, 0.500, 0.250)



Entry 12:
The following is a DFT calculation (PBE) of a relaxed MnCoBRu crystal.

Computed properties:
The calculation puts the energy of formation from the pure elements at 0.106 eV per atom. Its total moment is 0.756 μB per atom.

a b c (Å): 3.922 3.922 3.922
angles (deg): 60.00 60.00 60.00
Sites, in units of the cell vectors:
Mn (0.000, 0.000, 0.000)
Co (0.750, 0.750, 0.750)
B (0.500, 0.500, 0.500)
Ru (0.250, 0.250, 0.250)



Ρ
In order: 10941 9827 7660 4658 11056 9769 2796 8330 7576 5308 7327 8786
Unit: kg/m3